No. 1
{
  "formula": "LiCdIn3Pb",
  "functional": "PBE",
  "state": "optimized geometry",
  "n_ef_per_ev_atom": 0.39,
  "final_energy_ev_per_atom": -2.525,
  "delta_e_f_ev_per_atom": -0.0663,
  "sg": "Cmcm",
  "lattice_angstrom": [[4.6906, 0.0000, 0.0000], [-2.3453, 6.8156, 0.0000], [0.0000, 0.0000, 9.4498]],
  "species": ["Li", "Li", "Cd", "Cd", "In", "In", "In", "In", "In", "In", "Pb", "Pb"],
  "frac_coords": [[0.0000, 0.0000, 0.5000], [0.0000, 0.0000, 0.0000], [0.5010, 0.0019, 0.7500], [0.4990, 0.9981, 0.2500], [0.6579, 0.3158, 0.5010], [0.3421, 0.6842, 0.4990], [0.3421, 0.6842, 0.0010], [0.6579, 0.3158, 0.9990], [0.1547, 0.3094, 0.7500], [0.8453, 0.6906, 0.2500], [0.8337, 0.6673, 0.7500], [0.1663, 0.3327, 0.2500]]
}

No. 2
{
  "formula": "SrTaW2",
  "functional": "PBE",
  "state": "optimized geometry",
  "n_ef_per_ev_atom": 1.08,
  "final_energy_ev_per_atom": -8.978,
  "delta_e_f_ev_per_atom": 0.8820,
  "sg": "R3m",
  "lattice_angstrom": [[-7.6573, 3.7466, 5.2101], [-7.5737, 0.8749, 6.4567], [-5.7079, 3.1249, 7.5809]],
  "species": ["Sr", "Ta", "W", "W"],
  "frac_coords": [[0.5028, 0.5028, 0.5028], [0.7349, 0.7349, 0.7349], [0.9973, 0.9973, 0.9973], [0.2651, 0.2651, 0.2651]]
}